# Dy7Tm12Al | Alexandria | PBE-GGA | relaxed
# E_tot: -257.4 eV for the cell shown
# ρ: 8.6 Mg/m³
data_Dy7Tm12Al
_chemical_formula_sum 'Dy21 Tm36 Al3'
_cell_length_a 11.7544
_cell_length_b 11.7544
_cell_length_c 15.4814
_cell_angle_alpha 90.00
_cell_angle_beta 90.00
_cell_angle_gamma 120.00
_space_group_name_H-M_alt 'R -3'
_space_group_IT_number 148
_space_group_name_Hall '-R 3'
loop_
_atom_site_label
_atom_site_fract_x
_atom_site_fract_y
_atom_site_fract_z
_atom_site_occupancy
Dy1 0.0000 0.0000 0.0000 1
Dy2 0.0589 0.8710 0.2959 1
Tm1 0.0407 0.5788 0.2144 1
Tm2 0.0550 0.4719 0.5856 1
Al1 0.0000 0.0000 0.5000 1

# Ce2LuPb | Alexandria | PBE-GGA | relaxed
# relative energy among the computed polymorphs: 0.000 eV per atom
# E_tot: -21.1 eV for the cell shown
# ρ: 10.0 Mg/m³
data_Ce2LuPb
_chemical_formula_sum 'Ce2 Lu1 Pb1'
_cell_length_a 4.5873
_cell_length_b 4.5873
_cell_length_c 5.2230
_cell_angle_alpha 90.00
_cell_angle_beta 90.00
_cell_angle_gamma 90.00
_space_group_name_H-M_alt 'P 4/m m m'
_space_group_IT_number 123
_space_group_name_Hall '-P 4 2'
loop_
_atom_site_label
_atom_site_fract_x
_atom_site_fract_y
_atom_site_fract_z
_atom_site_occupancy
Ce1 0.0000 0.5000 0.0000 1
Lu1 0.0000 0.0000 0.5000 1
Pb1 0.5000 0.5000 0.5000 1

# MnV3Fe | Alexandria | PBE-GGA | relaxed
# relative energy among the computed polymorphs: 0.952 eV per atom
# E_tot: -41.0 eV for the cell shown
# ρ: 5.5 Mg/m³
data_MnV3Fe
_chemical_formula_sum 'Mn1 V3 Fe1'
_cell_length_a 4.2924
_cell_length_b 4.2924
_cell_length_c 4.2924
_cell_angle_alpha 90.00
_cell_angle_beta 90.00
_cell_angle_gamma 90.00
_space_group_name_H-M_alt 'P m -3 m'
_space_group_IT_number 221
_space_group_name_Hall '-P 4 2 3'
loop_
_atom_site_label
_atom_site_fract_x
_atom_site_fract_y
_atom_site_fract_z
_atom_site_occupancy
Mn1 0.0000 0.0000 0.0000 1
V1 0.0000 0.5000 0.5000 1
Fe1 0.5000 0.5000 0.5000 1

# Ca2NbReH | Alexandria | PBE-GGA | relaxed
# E_tot: -23.0 eV for the cell shown
# ρ: 5.5 Mg/m³
data_Ca2NbReH
_chemical_formula_sum 'Ca2 Nb1 Re1 H1'
_cell_length_a 5.7377
_cell_length_b 5.7377
_cell_length_c 3.2964
_cell_angle_alpha 90.00
_cell_angle_beta 90.00
_cell_angle_gamma 90.00
_space_group_name_H-M_alt 'P 4/m m m'
_space_group_IT_number 123
_space_group_name_Hall '-P 4 2'
loop_
_atom_site_label
_atom_site_fract_x
_atom_site_fract_y
_atom_site_fract_z
_atom_site_occupancy
Ca1 0.0000 0.5000 0.0000 1
Nb1 0.0000 0.0000 0.0000 1
Re1 0.5000 0.5000 0.5000 1
H1 0.0000 0.0000 0.5000 1

# TbHoMnCd | Alexandria | PBE-GGA | relaxed
# E_tot: -77.4 eV for the cell shown
# ρ: 8.4 Mg/m³
data_TbHoMnCd
_chemical_formula_sum 'Tb4 Ho4 Mn4 Cd4'
_cell_length_a 7.2934
_cell_length_b 7.2934
_cell_length_c 7.2934
_cell_angle_alpha 90.00
_cell_angle_beta 90.00
_cell_angle_gamma 90.00
_space_group_name_H-M_alt 'F -4 3 m'
_space_group_IT_number 216
_space_group_name_Hall 'F -4 2 3'
loop_
_atom_site_label
_atom_site_fract_x
_atom_site_fract_y
_atom_site_fract_z
_atom_site_occupancy
Tb1 0.0000 0.0000 0.0000 1
Ho1 0.0000 0.0000 0.5000 1
Mn1 0.2500 0.2500 0.2500 1
Cd1 0.2500 0.2500 0.7500 1

# K2RbCeI8 | Alexandria | PBE-GGA | relaxed
# E_tot: -36.0 eV for the cell shown
# raw formation energy: -1210 meV/atom
# ρ: 3.9 Mg/m³
data_K2RbCeI8
_chemical_formula_sum 'K2 Rb1 Ce1 I8'
_cell_length_a 6.6955
_cell_length_b 8.4223
_cell_length_c 10.4162
_cell_angle_alpha 89.19
_cell_angle_beta 71.67
_cell_angle_gamma 86.35
_space_group_name_H-M_alt 'P -1'
_space_group_IT_number 2
loop_
_space_group_symop_operation_xyz
'x,y,z'
'-x,-y,-z'
loop_
_atom_site_label
_atom_site_fract_x
_atom_site_fract_y
_atom_site_fract_z
_atom_site_occupancy
K1 0.1310 0.4672 0.1852 1
Rb1 0.5000 0.0000 0.5000 1
Ce1 0.0000 0.0000 0.0000 1
I1 0.1027 0.0287 0.2643 1
I2 0.2549 0.4990 0.4955 1
I3 0.3082 0.2401 0.8542 1
I4 0.3223 0.7241 0.8911 1

Number 1: DOS at the Fermi energy 92.7 states/eV/cell. Number 2: DOS at the Fermi energy 9.4 states/eV/cell. Number 3: DOS at the Fermi energy 8.6 states/eV/cell. Number 4: DOS at the Fermi energy 5.2 states/eV/cell. Number 5: DOS at the Fermi energy 22.4 states/eV/cell. Number 6: DOS at the Fermi energy 3.2 states/eV/cell.